The following is a GGA-PBE calculation of a relaxed structure of LaNdOsI, from Alexandria via LeMat-Bulk.

The space group is R3m (No. 160, hexagonal axes) and the conventional cell measures 4.2122, 4.2122 and 24.6695 Å, with angles of 90.00, 90.00 and 120.00 degrees. The inequivalent atoms are La at (0.0000, 0.0000, 0.0000), Nd at (0.0000, 0.0000, 0.7890), Os at (0.0000, 0.0000, 0.3930) and I at (0.0000, 0.0000, 0.2244).

The uncorrected formation energy comes out at -556 meV per atom. The value obtained for the size of the total moment is 0.0 Bohr magnetons per cell.